# 1
Entry from Alexandria: a relaxed structure of K2GePtCl (PBE).

## Properties
- V (Å³ per cell) = 160.98
- SG = P4/mmm
- uncorrected formation energy (meV per atom) = 58

Unit cell a=5.5752 b=5.5752 c=5.1790 alpha=90.00 beta=90.00 gamma=90.00
Closest atoms and distances in Å follow each position.
Element x y z (fractional)
K 0.0000 0.5000 0.0000  2 Cl 2.79
K 0.5000 0.0000 0.0000  2 Cl 2.79
Ge 0.0000 0.0000 0.5000  2 Cl 2.59
Pt 0.5000 0.5000 0.5000  8 K 3.80, 4 Ge 3.94
Cl 0.0000 0.0000 0.0000  2 Ge 2.59, 4 K 2.79


# 2
Entry from Alexandria: a relaxed structure of Al2ZnIn2Pt5 (PBE).

## Properties
- V (Å³ per cell) = 344.88
- formation energy (eV per atom) = -0.58
- SG = P4/mbm

Unit cell a=10.9423 b=10.9423 c=2.8804 alpha=90.00 beta=90.00 gamma=90.00
Closest atoms and distances in Å follow each position.
Element x y z (fractional)
Al 0.1437 0.3563 0.0000  6 Pt 2.57-2.65
Al 0.3563 0.8563 0.0000  6 Pt 2.57-2.65
Al 0.6437 0.1437 0.0000  6 Pt 2.57-2.65
Al 0.8563 0.6437 0.0000  6 Pt 2.57-2.65
Zn 0.0000 0.0000 0.0000  8 Pt 2.66, 2 Zn 2.88
Zn 0.5000 0.5000 0.0000  8 Pt 2.66, 2 Zn 2.88
In 0.1568 0.6568 0.0000  6 Pt 2.82, 2 In 2.88, 1 Al 3.09
In 0.3432 0.1568 0.0000  6 Pt 2.82, 2 In 2.88, 1 Al 3.09
In 0.6568 0.8432 0.0000  6 Pt 2.82, 2 In 2.88, 1 Al 3.09
In 0.8432 0.3432 0.0000  6 Pt 2.82, 2 In 2.88, 1 Al 3.09
Pt 0.0000 0.5000 0.5000  4 Al 2.65, 4 In 2.82, 2 Pt 2.88
Pt 0.1222 0.1634 0.5000  2 Al 2.57, 2 Zn 2.66, 2 In 2.82
Pt 0.1634 0.8778 0.5000  2 Al 2.57, 2 Zn 2.66, 2 In 2.82
Pt 0.3366 0.3778 0.5000  2 Al 2.57, 2 Zn 2.66, 2 In 2.82
Pt 0.3778 0.6634 0.5000  2 Al 2.57, 2 Zn 2.66, 2 In 2.82
Pt 0.5000 0.0000 0.5000  4 Al 2.65, 4 In 2.82, 2 Pt 2.88
Pt 0.6222 0.3366 0.5000  2 Al 2.57, 2 Zn 2.66, 2 In 2.82
Pt 0.6634 0.6222 0.5000  2 Al 2.57, 2 Zn 2.66, 2 In 2.82
Pt 0.8366 0.1222 0.5000  2 Al 2.57, 2 Zn 2.66, 2 In 2.82
Pt 0.8778 0.8366 0.5000  2 Al 2.57, 2 Zn 2.66, 2 In 2.82


# 3
Entry from Alexandria: a relaxed structure of Dy3TmAu2 (PBE).

## Properties
- V (Å³ per cell) = 313.06
- formation energy (eV per atom) = -0.64
- SG = Pmc2_1

Unit cell a=4.9577 b=8.9417 c=7.0621 alpha=90.00 beta=90.00 gamma=90.00
Closest atoms and distances in Å follow each position.
Element x y z (fractional)
Dy 0.0000 0.0737 0.0000  3 Au 2.94-3.13
Dy 0.0000 0.3322 0.3620  4 Au 2.90-3.05
Dy 0.0000 0.6678 0.8620  4 Au 2.90-3.05
Dy 0.0000 0.9263 0.5000  3 Au 2.94-3.13
Dy 0.5000 0.1693 0.6622  4 Au 2.90-3.06
Dy 0.5000 0.8307 0.1622  4 Au 2.90-3.06
Tm 0.5000 0.4271 0.0245  3 Au 2.92-3.13
Tm 0.5000 0.5729 0.5245  3 Au 2.92-3.13
Au 0.0000 0.3491 0.7724  5 Dy 2.90-3.06, 2 Tm 3.13
Au 0.0000 0.6509 0.2724  5 Dy 2.90-3.06, 2 Tm 3.13
Au 0.5000 0.1537 0.2515  6 Dy 2.90-3.13, 1 Tm 2.92
Au 0.5000 0.8463 0.7515  6 Dy 2.90-3.13, 1 Tm 2.92


no.,raw total energy (eV/atom)
1,-2.882
2,-5.027
3,-4.778